Record 1
Fe2CoRh: optimized geometry, GGA-PBE.

Computed properties:
* ΔE_f: 75 meV/atom
* N(E_F): 20.95 states/eV per cell
* E above lowest polymorph: 121.5 meV per atom
* DFT total energy: -7.77 eV per atom

Cell and atoms, written as CIF:
```
data_Fe2CoRh
_chemical_formula_sum 'Fe6 Co3 Rh3'
_cell_length_a 2.6502
_cell_length_b 2.6502
_cell_length_c 24.6414
_cell_angle_alpha 90.00
_cell_angle_beta 90.00
_cell_angle_gamma 120.00
_space_group_name_H-M_alt 'R 3 m'
_space_group_IT_number 160
_space_group_name_Hall 'R 3 -2"'
loop_
_atom_site_label
_atom_site_type_symbol
_atom_site_fract_x
_atom_site_fract_y
_atom_site_fract_z
Fe1 Fe 0.0000 0.0000 0.0000
Fe2 Fe 0.0000 0.0000 0.1744
Co1 Co 0.0000 0.0000 0.5878
Rh1 Rh 0.0000 0.0000 0.4200
```

Record 2
FeCo2Rh2: optimized geometry, GGA-PBE.

Computed properties:
* ΔE_f: 504 meV/atom
* N(E_F): 16.70 states/eV per cell
* E above lowest polymorph: 266.1 meV per atom
* DFT total energy: -6.97 eV per atom

Cell and atoms, written as CIF:
```
data_FeCo2Rh2
_chemical_formula_sum 'Fe2 Co4 Rh4'
_cell_length_a 3.671
_cell_length_b 3.671
_cell_length_c 10.652
_cell_angle_alpha 90.00
_cell_angle_beta 90.00
_cell_angle_gamma 90.00
_space_group_name_H-M_alt 'I 4/m m m'
_space_group_IT_number 139
_space_group_name_Hall '-I 4 2'
loop_
_atom_site_label
_atom_site_type_symbol
_atom_site_fract_x
_atom_site_fract_y
_atom_site_fract_z
Fe1 Fe 0.000 0.000 0.000
Co1 Co 0.000 0.000 0.403
Rh1 Rh 0.000 0.500 0.250
```

Record 3
Fe2CoRh: optimized geometry, GGA-PBE.

Computed properties:
* ΔE_f: 93 meV/atom
* N(E_F): 9.12 states/eV per cell
* E above lowest polymorph: 138.9 meV per atom
* DFT total energy: -7.75 eV per atom

Cell and atoms, written as CIF:
```
data_Fe2CoRh
_chemical_formula_sum 'Fe4 Co2 Rh2'
_cell_length_a 2.835
_cell_length_b 4.291
_cell_length_c 8.276
_cell_angle_alpha 90.00
_cell_angle_beta 90.00
_cell_angle_gamma 90.00
_space_group_name_H-M_alt 'C m m 2'
_space_group_IT_number 35
loop_
_space_group_symop_operation_xyz
'x,y,z'
'-x,-y,z'
'-x,y,z'
'x,-y,z'
'x+1/2,y+1/2,z'
'-x+1/2,-y+1/2,z'
'-x+1/2,y+1/2,z'
'x+1/2,-y+1/2,z'
loop_
_atom_site_label
_atom_site_type_symbol
_atom_site_fract_x
_atom_site_fract_y
_atom_site_fract_z
Fe1 Fe 0.000 0.000 0.000
Fe2 Fe 0.000 0.500 0.243
Co1 Co 0.000 0.500 0.766
Rh1 Rh 0.000 0.000 0.502
```

Record 4
Fe3Co2Rh: optimized geometry, GGA-PBE.

Computed properties:
* ΔE_f: -50 meV/atom
* N(E_F): 3.83 states/eV per cell
* E above lowest polymorph: 0.0 meV per atom
* DFT total energy: -7.87 eV per atom

Cell and atoms, written as CIF:
```
data_Fe3Co2Rh
_chemical_formula_sum 'Fe3 Co2 Rh1'
_cell_length_a 2.900
_cell_length_b 2.900
_cell_length_c 8.726
_cell_angle_alpha 90.00
_cell_angle_beta 90.00
_cell_angle_gamma 90.00
_space_group_name_H-M_alt 'P 4/m m m'
_space_group_IT_number 123
_space_group_name_Hall '-P 4 2'
loop_
_atom_site_label
_atom_site_type_symbol
_atom_site_fract_x
_atom_site_fract_y
_atom_site_fract_z
Fe1 Fe 0.000 0.000 0.000
Fe2 Fe 0.000 0.000 0.317
Co1 Co 0.500 0.500 0.161
Rh1 Rh 0.500 0.500 0.500
```

Record 5
Fe4CoRh: optimized geometry, GGA-PBE.

Computed properties:
* ΔE_f: -36 meV/atom
* N(E_F): 3.71 states/eV per cell
* E above lowest polymorph: 0.0 meV per atom
* DFT total energy: -8.09 eV per atom

Cell and atoms, written as CIF:
```
data_Fe4CoRh
_chemical_formula_sum 'Fe4 Co1 Rh1'
_cell_length_a 2.901
_cell_length_b 4.859
_cell_length_c 5.782
_cell_angle_alpha 72.68
_cell_angle_beta 89.91
_cell_angle_gamma 72.65
_space_group_name_H-M_alt 'P -1'
_space_group_IT_number 2
loop_
_space_group_symop_operation_xyz
'x,y,z'
'-x,-y,-z'
loop_
_atom_site_label
_atom_site_type_symbol
_atom_site_fract_x
_atom_site_fract_y
_atom_site_fract_z
Fe1 Fe 0.168 0.165 0.342
Fe2 Fe 0.170 0.160 0.826
Co1 Co 0.500 0.500 0.500
Rh1 Rh 0.500 0.500 0.000
```

Record 6
Fe5CoRh2: optimized geometry, GGA-PBE.

Computed properties:
* ΔE_f: -52 meV/atom
* N(E_F): 7.23 states/eV per cell
* DFT total energy: -8.07 eV per atom

Cell and atoms, written as CIF:
```
data_Fe5CoRh2
_chemical_formula_sum 'Fe10 Co2 Rh4'
_cell_length_a 4.142
_cell_length_b 4.142
_cell_length_c 11.785
_cell_angle_alpha 90.00
_cell_angle_beta 90.00
_cell_angle_gamma 90.00
_space_group_name_H-M_alt 'I 4/m m m'
_space_group_IT_number 139
_space_group_name_Hall '-I 4 2'
loop_
_atom_site_label
_atom_site_type_symbol
_atom_site_fract_x
_atom_site_fract_y
_atom_site_fract_z
Fe1 Fe 0.000 0.000 0.000
Fe2 Fe 0.000 0.500 0.117
Co1 Co 0.000 0.000 0.500
Rh1 Rh 0.000 0.000 0.251
```

Record 7
FeCoRh4: optimized geometry, GGA-PBE.

Computed properties:
* ΔE_f: 27 meV/atom
* N(E_F): 9.20 states/eV per cell
* E above lowest polymorph: 0.0 meV per atom
* DFT total energy: -7.47 eV per atom

Cell and atoms, written as CIF:
```
data_FeCoRh4
_chemical_formula_sum 'Fe1 Co1 Rh4'
_cell_length_a 2.698
_cell_length_b 2.698
_cell_length_c 10.969
_cell_angle_alpha 90.00
_cell_angle_beta 90.00
_cell_angle_gamma 90.00
_space_group_name_H-M_alt 'P 4/m m m'
_space_group_IT_number 123
_space_group_name_Hall '-P 4 2'
loop_
_atom_site_label
_atom_site_type_symbol
_atom_site_fract_x
_atom_site_fract_y
_atom_site_fract_z
Fe1 Fe 0.000 0.000 0.000
Co1 Co 0.500 0.500 0.500
Rh1 Rh 0.000 0.000 0.341
Rh2 Rh 0.500 0.500 0.162
```

Record 8
Fe2CoRh: optimized geometry, GGA-PBE.

Computed properties:
* ΔE_f: -8 meV/atom
* N(E_F): 2.69 states/eV per cell
* E above lowest polymorph: 38.2 meV per atom
* DFT total energy: -7.85 eV per atom

Cell and atoms, written as CIF:
```
data_Fe2CoRh
_chemical_formula_sum 'Fe2 Co1 Rh1'
_cell_length_a 2.897
_cell_length_b 2.897
_cell_length_c 5.956
_cell_angle_alpha 90.00
_cell_angle_beta 90.00
_cell_angle_gamma 90.00
_space_group_name_H-M_alt 'P 4 m m'
_space_group_IT_number 99
loop_
_space_group_symop_operation_xyz
'x,y,z'
'-y,x,z'
'-x,-y,z'
'y,-x,z'
'-x,y,z'
'y,x,z'
'x,-y,z'
'-y,-x,z'
loop_
_atom_site_label
_atom_site_type_symbol
_atom_site_fract_x
_atom_site_fract_y
_atom_site_fract_z
Fe1 Fe 0.000 0.000 0.000
Fe2 Fe 0.500 0.500 0.245
Co1 Co 0.500 0.500 0.778
Rh1 Rh 0.000 0.000 0.502
```

Which value of N(E_F) does entry 2 give? 16.70 states/eV per cell

What did the third record say?
Fe2CoRh: optimized geometry, GGA-PBE.

Computed properties:
* ΔE_f: 93 meV/atom
* N(E_F): 9.12 states/eV per cell
* E above lowest polymorph: 138.9 meV per atom
* DFT total energy: -7.75 eV per atom

Cell and atoms, written as CIF:
```
data_Fe2CoRh
_chemical_formula_sum 'Fe4 Co2 Rh2'
_cell_length_a 2.835
_cell_length_b 4.291
_cell_length_c 8.276
_cell_angle_alpha 90.00
_cell_angle_beta 90.00
_cell_angle_gamma 90.00
_space_group_name_H-M_alt 'C m m 2'
_space_group_IT_number 35
loop_
_space_group_symop_operation_xyz
'x,y,z'
'-x,-y,z'
'-x,y,z'
'x,-y,z'
'x+1/2,y+1/2,z'
'-x+1/2,-y+1/2,z'
'-x+1/2,y+1/2,z'
'x+1/2,-y+1/2,z'
loop_
_atom_site_label
_atom_site_type_symbol
_atom_site_fract_x
_atom_site_fract_y
_atom_site_fract_z
Fe1 Fe 0.000 0.000 0.000
Fe2 Fe 0.000 0.500 0.243
Co1 Co 0.000 0.500 0.766
Rh1 Rh 0.000 0.000 0.502
```